# BaPIrS2

BaPIrS2 after structural relaxation (GGA-PBE, the Alexandria database). Values from VASP.

Summary:
E above lowest polymorph	0.0	kJ per mole of atoms
formation energy from raw total energies	-53.84	kJ/mol of atoms
density of states at the Fermi level	0.57	states/eV per atom
calculated volume	23.036	Å³ per atom
space-group type	P4/mmm, No. 123

Cell and atoms, written as Quantum ESPRESSO input:
```
&SYSTEM
  ibrav = 0, nat = 5, ntyp = 4
/
ATOMIC_SPECIES
Ba 137.33 Ba.upf
P 30.97 P.upf
Ir 192.22 Ir.upf
S 32.06 S.upf
CELL_PARAMETERS angstrom
5.1236 0.0000 0.0000
0.0000 5.1236 0.0000
0.0000 0.0000 4.3876
ATOMIC_POSITIONS crystal
Ba 0.0000 0.0000 0.0000
P 0.5000 0.5000 0.0000
Ir 0.5000 0.5000 0.5000
S 0.0000 0.5000 0.5000
S 0.5000 0.0000 0.5000
```



# BaPIrS2

BaPIrS2 after structural relaxation (GGA-PBE, the Alexandria database). Values from VASP.

Summary:
E above lowest polymorph	236.6	kJ per mole of atoms
formation energy from raw total energies	182.80	kJ/mol of atoms
density of states at the Fermi level	1.72	states/eV per atom
calculated volume	36.618	Å³ per atom
space-group type	P4/mmm, No. 123

Cell and atoms, written as Quantum ESPRESSO input:
```
&SYSTEM
  ibrav = 0, nat = 5, ntyp = 4
/
ATOMIC_SPECIES
Ba 137.33 Ba.upf
P 30.97 P.upf
Ir 192.22 Ir.upf
S 32.06 S.upf
CELL_PARAMETERS angstrom
5.6369 0.0000 0.0000
0.0000 5.6369 0.0000
0.0000 0.0000 5.7622
ATOMIC_POSITIONS crystal
Ba 0.0000 0.0000 0.0000
P 0.0000 0.0000 0.5000
Ir 0.5000 0.5000 0.5000
S 0.0000 0.5000 0.0000
S 0.5000 0.0000 0.0000
```



# BaTcP2Ir

BaTcP2Ir after structural relaxation (GGA-PBE, the Alexandria database). Values from VASP.

Summary:
density of states at the Fermi level	0.41	states/eV per atom
calculated volume	20.620	Å³ per atom
formation enthalpy at 0 K	-0.8891	eV/atom
space-group type	I-4m2, No. 119

Cell and atoms, written as Quantum ESPRESSO input:
```
&SYSTEM
  ibrav = 0, nat = 10, ntyp = 4
/
ATOMIC_SPECIES
Ba 137.33 Ba.upf
Tc 98.00 Tc.upf
P 30.97 P.upf
Ir 192.22 Ir.upf
CELL_PARAMETERS angstrom
4.0920 0.0000 0.0000
0.0000 4.0920 0.0000
0.0000 0.0000 12.3143
ATOMIC_POSITIONS crystal
Ba 0.0000 0.0000 0.0000
Ba 0.5000 0.5000 0.5000
Tc 0.0000 0.5000 0.2500
Tc 0.5000 0.0000 0.7500
P 0.0000 0.0000 0.3452
P 0.0000 0.0000 0.6548
P 0.5000 0.5000 0.1548
P 0.5000 0.5000 0.8452
Ir 0.0000 0.5000 0.7500
Ir 0.5000 0.0000 0.2500
```



# BaUP2Ir4

BaUP2Ir4 after structural relaxation (GGA-PBE, the Alexandria database). Values from VASP.

Summary:
density of states at the Fermi level	0.68	states/eV per atom
calculated volume	20.423	Å³ per atom
formation enthalpy at 0 K	-0.6942	eV/atom
space-group type	P4/mmm, No. 123

Cell and atoms, written as Quantum ESPRESSO input:
```
&SYSTEM
  ibrav = 0, nat = 8, ntyp = 4
/
ATOMIC_SPECIES
Ba 137.33 Ba.upf
U 238.03 U.upf
P 30.97 P.upf
Ir 192.22 Ir.upf
CELL_PARAMETERS angstrom
4.0122 0.0000 0.0000
0.0000 4.0122 0.0000
0.0000 0.0000 10.1491
ATOMIC_POSITIONS crystal
Ba 0.0000 0.0000 0.0000
U 0.0000 0.0000 0.5000
P 0.5000 0.5000 0.1866
P 0.5000 0.5000 0.8134
Ir 0.0000 0.5000 0.3067
Ir 0.0000 0.5000 0.6933
Ir 0.5000 0.0000 0.3067
Ir 0.5000 0.0000 0.6933
```



# BaZn2PIr

BaZn2PIr after structural relaxation (GGA-PBE, the Alexandria database). Values from VASP.

Summary:
density of states at the Fermi level	0.70	states/eV per atom
calculated volume	22.569	Å³ per atom
formation enthalpy at 0 K	-0.3498	eV/atom
space-group type	P4/mmm, No. 123

Cell and atoms, written as Quantum ESPRESSO input:
```
&SYSTEM
  ibrav = 0, nat = 5, ntyp = 4
/
ATOMIC_SPECIES
Ba 137.33 Ba.upf
Zn 65.41 Zn.upf
P 30.97 P.upf
Ir 192.22 Ir.upf
CELL_PARAMETERS angstrom
4.9146 0.0000 0.0000
0.0000 4.9146 0.0000
0.0000 0.0000 4.6721
ATOMIC_POSITIONS crystal
Ba 0.0000 0.0000 0.0000
Zn 0.0000 0.5000 0.5000
Zn 0.5000 0.0000 0.5000
P 0.5000 0.5000 0.0000
Ir 0.5000 0.5000 0.5000
```



# BaPaIr2

BaPaIr2 after structural relaxation (GGA-PBE, the Alexandria database). Values from VASP.

Summary:
E above lowest polymorph	0.0	kJ per mole of atoms
density of states at the Fermi level	0.76	states/eV per atom
calculated volume	24.351	Å³ per atom
formation enthalpy at 0 K	-0.5222	eV/atom
space-group type	P4/mmm, No. 123

Cell and atoms, written as Quantum ESPRESSO input:
```
&SYSTEM
  ibrav = 0, nat = 4, ntyp = 3
/
ATOMIC_SPECIES
Ba 137.33 Ba.upf
Pa 231.04 Pa.upf
Ir 192.22 Ir.upf
CELL_PARAMETERS angstrom
3.5304 0.0000 0.0000
0.0000 3.5304 0.0000
0.0000 0.0000 7.8147
ATOMIC_POSITIONS crystal
Ba 0.0000 0.0000 0.0000
Pa 0.0000 0.0000 0.5000
Ir 0.5000 0.5000 0.3148
Ir 0.5000 0.5000 0.6852
```



# BaPaIr2

BaPaIr2 after structural relaxation (GGA-PBE, the Alexandria database). Values from VASP.

Summary:
E above lowest polymorph	8.2	kJ per mole of atoms
density of states at the Fermi level	0.60	states/eV per atom
calculated volume	26.476	Å³ per atom
formation enthalpy at 0 K	-0.4375	eV/atom
space-group type	R-3m, No. 166

Cell and atoms, written as Quantum ESPRESSO input:
```
&SYSTEM
  ibrav = 0, nat = 12, ntyp = 3
/
ATOMIC_SPECIES
Ba 137.33 Ba.upf
Pa 231.04 Pa.upf
Ir 192.22 Ir.upf
CELL_PARAMETERS angstrom
4.0035 0.0000 0.0000
-2.0017 3.4671 0.0000
0.0000 0.0000 22.8891
ATOMIC_POSITIONS crystal
Ba 0.0000 0.0000 0.0000
Ba 0.3333 0.6667 0.6667
Ba 0.6667 0.3333 0.3333
Pa 0.0000 0.0000 0.5000
Pa 0.3333 0.6667 0.1667
Pa 0.6667 0.3333 0.8333
Ir 0.0000 0.0000 0.2335
Ir 0.0000 0.0000 0.7665
Ir 0.3333 0.6667 0.4332
Ir 0.3333 0.6667 0.9002
Ir 0.6667 0.3333 0.0998
Ir 0.6667 0.3333 0.5668
```



# Ba2PaIrS6

Ba2PaIrS6 after structural relaxation (GGA-PBE, the Alexandria database). Values from VASP.

Summary:
formation energy from raw total energies	-143.27	kJ/mol of atoms
calculated volume	24.417	Å³ per atom
space-group type	Fm-3m, No. 225

Cell and atoms, written as Quantum ESPRESSO input:
```
&SYSTEM
  ibrav = 0, nat = 10, ntyp = 4
/
ATOMIC_SPECIES
Ba 137.33 Ba.upf
Pa 231.04 Pa.upf
Ir 192.22 Ir.upf
S 32.06 S.upf
CELL_PARAMETERS angstrom
0.0000 4.9608 4.9608
4.9608 0.0000 4.9608
4.9608 4.9608 0.0000
ATOMIC_POSITIONS crystal
Ba 0.2500 0.2500 0.2500
Ba 0.7500 0.7500 0.7500
Pa 0.0000 0.0000 0.0000
Ir 0.5000 0.5000 0.5000
S 0.2609 0.2609 0.7391
S 0.2609 0.7391 0.2609
S 0.2609 0.7391 0.7391
S 0.7391 0.2609 0.2609
S 0.7391 0.2609 0.7391
S 0.7391 0.7391 0.2609
```